AcHfCr2O8 (PBE+U, optimized geometry); electronic total energy = -7.991 eV per atom; theoretical density = 6.30 g cm⁻³
1.0
6.041 0.020 0.000
-2.662 5.423 0.000
-1.690 -2.722 5.122
Cr O Ac Hf
2 8 1 1
Direct
0.750 0.250 0.500 Cr
0.500 0.500 0.000 Cr
0.519 0.688 0.831 O
0.857 0.688 0.169 O
0.788 0.083 0.705 O
0.378 0.083 0.295 O
0.312 0.143 0.831 O
0.917 0.622 0.705 O
0.312 0.481 0.169 O
0.917 0.212 0.295 O
0.250 0.750 0.500 Ac
0.000 0.000 0.000 Hf